No. 1
## Dy6Er4Tm (GGA-PBE)

Data for crystalline Dy6Er4Tm at its relaxed geometry.

Formation enthalpy at 0 K: 0.131 eV per atom
SG: No. 63
Relative energy among the computed polymorphs: 0.000 eV/atom
Crystal system: orthorhombic
Uncorrected energy: -4.445 eV/atom

Cell lengths 5.6390, 5.5434, 25.3757 Å; angles 90.00, 90.00, 120.57 degrees
Atoms (fractional coordinates):
Dy: 0.5000 0.0000 0.0000
Dy: 0.5000 0.0000 0.5000
Dy: 0.1416 0.2831 0.3181
Dy: 0.8584 0.7169 0.6819
Dy: 0.8584 0.7169 0.8181
Dy: 0.1416 0.2831 0.1819
Dy: 0.8089 0.6178 0.3957
Dy: 0.1911 0.3822 0.6043
Dy: 0.1911 0.3822 0.8957
Dy: 0.8089 0.6178 0.1043
Dy: 0.4761 0.9523 0.2500
Dy: 0.5239 0.0477 0.7500
Er: 0.8434 0.6868 0.5428
Er: 0.4707 0.9414 0.1217
Er: 0.1566 0.3132 0.4572
Er: 0.5293 0.0586 0.8783
Er: 0.8434 0.6868 0.9572
Er: 0.1566 0.3132 0.0428
Er: 0.5293 0.0586 0.6217
Er: 0.4707 0.9414 0.3783
Tm: 0.8108 0.6217 0.2500
Tm: 0.1892 0.3783 0.7500

=====

No. 2
## Dy9ErTm2 (GGA-PBE)

Data for crystalline Dy9ErTm2 at its relaxed geometry.

Formation enthalpy at 0 K: 0.022 eV per atom
SG: No. 123
Relative energy among the computed polymorphs: 0.000 eV/atom
Crystal system: tetragonal
Uncorrected energy: -4.555 eV/atom

Cell lengths 4.9820, 4.9820, 14.9480 Å; angles 90.00, 90.00, 90.00 degrees
Atoms (fractional coordinates):
Dy: 0.5000 0.5000 0.0000
Dy: 0.5000 0.5000 0.3336
Dy: 0.5000 0.5000 0.6664
Dy: 0.5000 0.0000 0.1670
Dy: 0.5000 0.0000 0.5000
Dy: 0.5000 0.0000 0.8330
Dy: 0.0000 0.5000 0.1670
Dy: 0.0000 0.5000 0.5000
Dy: 0.0000 0.5000 0.8330
Er: 0.0000 0.0000 0.0000
Tm: 0.0000 0.0000 0.3335
Tm: 0.0000 0.0000 0.6665

=====

No. 3
## Dy3Er3Tm2 (GGA-PBE)

Data for crystalline Dy3Er3Tm2 at its relaxed geometry.

Formation enthalpy at 0 K: 0.150 eV per atom
SG: No. 155
Relative energy among the computed polymorphs: 0.127 eV/atom
Crystal system: trigonal
Uncorrected energy: -4.405 eV/atom

Cell lengths 6.3585, 6.3585, 6.3585 Å; angles 84.30, 84.30, 95.70 degrees
Atoms (fractional coordinates):
Dy: 0.3113 0.6888 0.0000
Dy: 0.0000 0.3113 0.3113
Dy: 0.6888 0.0000 0.6888
Er: 0.2128 0.7872 0.5000
Er: 0.5000 0.2128 0.2128
Er: 0.7872 0.5000 0.7872
Tm: 0.1953 0.1953 0.8047
Tm: 0.8047 0.8047 0.1953

=====

No. 4
## Dy2ErTm3 (GGA-PBE)

Data for crystalline Dy2ErTm3 at its relaxed geometry.

Formation enthalpy at 0 K: 0.010 eV per atom
SG: No. 63
Relative energy among the computed polymorphs: 0.000 eV/atom
Crystal system: orthorhombic
Uncorrected energy: -4.520 eV/atom

Cell lengths 11.3140, 6.1019, 6.1019 Å; angles 120.02, 90.00, 90.00 degrees
Atoms (fractional coordinates):
Dy: 0.7196 0.1672 0.5006
Dy: 0.2196 0.4994 0.8328
Dy: 0.2196 0.8328 0.4994
Dy: 0.7196 0.5006 0.1672
Er: 0.7197 0.8337 0.8337
Er: 0.2197 0.1663 0.1663
Tm: 0.4696 0.1664 0.8336
Tm: 0.9696 0.1664 0.8336
Tm: 0.4697 0.5000 0.5000
Tm: 0.9697 0.5000 0.5000
Tm: 0.9696 0.8336 0.1664
Tm: 0.4696 0.8336 0.1664